First-principles (GGA-PBE) data for crystalline BaSbPO2 at its relaxed geometry, as listed in the Alexandria database.

As for the raw total energy: -4.167 eV/atom. The space group is P4/mmm. As for the distance to the lowest polymorph of the same formula: 1147 meV per atom. The value obtained for the uncorrected formation energy is 0.107 eV/atom.

Lattice parameters (Å, degrees): 4.3851 4.3851 6.7287 90.00 90.00 90.00
Closest atoms and distances in Å follow each position.
Atoms (fractional coordinates):
1 Ba 0.0000 0.0000 0.0000  4 O 2.19
2 Sb 0.5000 0.5000 0.5000  4 P 3.10
3 P 0.0000 0.0000 0.5000  4 Sb 3.10, 2 Ba 3.36
4 O 0.0000 0.5000 0.0000  2 Ba 2.19
5 O 0.5000 0.0000 0.0000  2 Ba 2.19